VASP calculation (PBE) on a relaxed YTi3Ge crystal.

Values from the calculation:
The electronic total energy is -5.43 eV/atom. For the total magnetization, the calculation gives 1.6 μB per formula unit. As for the crystal system: cubic. The formation energy comes out at 1.519 eV per atom.

Lattice parameters (Å, degrees): 4.8251 4.8251 4.8251 90.00 90.00 90.00
Last column: nearest neighbours and their distance in Å.
Space group Pm-3m (No. 221)
Unique sites:
1 Y 0.0000 0.0000 0.0000 [1 per cell]  6 Ti 2.41
2 Ti 0.0000 0.0000 0.5000 [3 per cell]  2 Y 2.41
3 Ge 0.5000 0.5000 0.5000 [1 per cell]  12 Ti 3.41